Crystalline YNbAg at its relaxed geometry, computed with PBE.

abc: 4.8206 4.8206 4.8206
angles: 60.00 60.00 60.00
With the nearest neighbours (Å) after each atom.
Fractional coordinates of all 3 atoms:
Y 0.0000 0.0000 0.0000  4 Ag 2.95, 4 Nb 2.95
Nb 0.7500 0.7500 0.7500  4 Y 2.95
Ag 0.2500 0.2500 0.2500  4 Y 2.95

DFT total energy in eV per atom: -5.31
Space-group type: F-43m (216)
Formation enthalpy at 0 K in meV/atom: 1151


Crystalline LiHfTe2AuS at its relaxed geometry, computed with PBE.

abc: 8.0363 8.0363 10.0129
angles: 90.00 90.00 150.94
With the nearest neighbours (Å) after each atom.
Fractional coordinates of all 12 atoms:
Te 0.6402 0.3598 0.9861  1 Au 2.71, 2 Hf 2.97
S 0.0462 0.9538 0.2500  2 Au 2.55, 2 Hf 2.60
Hf 0.0000 0.0000 0.5000  2 S 2.60
S 0.9538 0.0462 0.7500  2 Au 2.55, 2 Hf 2.60
Te 0.3598 0.6402 0.4861  1 Au 2.71, 2 Hf 2.97
Te 0.6402 0.3598 0.5139  1 Au 2.71, 2 Hf 2.97
Au 0.4456 0.5544 0.2500  2 S 2.55, 2 Te 2.71, 2 Li 2.72
Li 0.1714 0.8286 0.7500  2 Au 2.72
Li 0.8286 0.1714 0.2500  2 Au 2.72
Au 0.5544 0.4456 0.7500  2 S 2.55, 2 Te 2.71, 2 Li 2.72
Te 0.3598 0.6402 0.0139  1 Au 2.71, 2 Hf 2.97
Hf 0.0000 0.0000 0.0000  2 S 2.60

DFT total energy in eV per atom: -4.97
Space-group type: Cmcm (63)


Crystalline Au at its relaxed geometry, computed with PBE.

abc: 3.4561 3.4561 4.2340
angles: 114.09 114.09 60.00
With the nearest neighbours (Å) after each atom.
Fractional coordinates of all 2 atoms:
Au 0.7496 0.7496 0.2487  6 Au 2.73-2.74
Au 0.2504 0.2504 0.7513  6 Au 2.73-2.74

DFT total energy in eV per atom: -3.11
Space-group type: R-3m (166)
Formation enthalpy at 0 K in meV/atom: 156


Crystalline HgTePdO at its relaxed geometry, computed with PBE.

abc: 7.6802 7.6802 5.7585
angles: 90.00 90.00 151.54
With the nearest neighbours (Å) after each atom.
Fractional coordinates of all 8 atoms:
Te 0.1914 0.8086 0.5093  4 Pd 2.62-2.93
O 0.3955 0.6045 0.5099  2 Hg 2.23-2.33, 2 Pd 2.25
Pd 0.8136 0.1864 0.5001  2 O 2.25
Pd 0.1864 0.8136 0.0001  2 O 2.25
Te 0.8086 0.1914 0.0093  4 Pd 2.62-2.93
O 0.6045 0.3955 0.0099  2 Hg 2.23-2.33, 2 Pd 2.25
Hg 0.4644 0.5356 0.8733  2 O 2.23-2.33
Hg 0.5356 0.4644 0.3733  2 O 2.23-2.33

DFT total energy in eV per atom: -3.54
Space-group type: Cmc2_1 (36)


Crystalline NpCl at its relaxed geometry, computed with PBE.

abc: 3.8719 3.8719 3.8719
angles: 60.00 60.00 60.00
With the nearest neighbours (Å) after each atom.
Fractional coordinates of all 2 atoms:
Np 0.5000 0.5000 0.5000  6 Cl 2.74
Cl 0.0000 0.0000 0.0000  6 Np 2.74

DFT total energy in eV per atom: -7.97
Space-group type: Fm-3m (225)


Crystalline AcThAl at its relaxed geometry, computed with PBE.

abc: 5.2664 5.2664 5.2664
angles: 60.00 60.00 60.00
With the nearest neighbours (Å) after each atom.
Fractional coordinates of all 3 atoms:
Th 0.7500 0.7500 0.7500  4 Al 3.22
Ac 0.2500 0.2500 0.2500  4 Al 3.22
Al 0.0000 0.0000 0.0000  4 Th 3.22, 4 Ac 3.22

DFT total energy in eV per atom: -4.97
Space-group type: F-43m (216)


> Among the records above, which one has the highest DFT total energy?

Au